(1)
Computed, not measured: a PBEsol-optimized structure of RbPd2F5 at the meta-GGA SCAN level of DFT. Values from VASP.

Geometry as Quantum ESPRESSO input:
```
&SYSTEM
  ibrav = 0, nat = 16, ntyp = 3
/
ATOMIC_SPECIES
F 19.00 F.upf
Rb 85.47 Rb.upf
Pd 106.42 Pd.upf
CELL_PARAMETERS angstrom
6.248 0.000 0.000
3.124 6.573 0.000
3.124 2.139 6.215
ATOMIC_POSITIONS crystal
F 0.093 0.157 0.657
F 0.907 0.843 0.343
Rb 0.600 0.150 0.650
F 0.855 0.812 0.949
F 0.384 0.812 0.949
Pd 0.000 0.500 0.500
F 0.145 0.188 0.051
Pd 0.500 0.500 0.000
Pd 0.000 0.000 0.000
F 0.145 0.551 0.688
F 0.616 0.551 0.688
F 0.855 0.449 0.312
Pd 0.000 0.500 0.000
F 0.616 0.188 0.051
F 0.384 0.449 0.312
Rb 0.400 0.850 0.350
```

## Properties
total moment	4.00	μB/cell
E_tot	-14.841	eV/atom


(2)
Computed, not measured: a PBEsol-optimized structure of Rb2PdF6 at the meta-GGA SCAN level of DFT. Values from VASP.

Geometry as Quantum ESPRESSO input:
```
&SYSTEM
  ibrav = 0, nat = 9, ntyp = 3
/
ATOMIC_SPECIES
F 19.00 F.upf
Rb 85.47 Rb.upf
Pd 106.42 Pd.upf
CELL_PARAMETERS angstrom
-1.544 -5.709 -1.081
3.855 -4.444 1.242
-1.095 -3.737 4.581
ATOMIC_POSITIONS crystal
F 0.774 0.774 0.226
F 0.226 0.774 0.226
Rb 0.250 0.250 0.250
F 0.774 0.226 0.226
Pd 0.000 0.000 0.000
F 0.226 0.226 0.774
F 0.226 0.774 0.774
Rb 0.750 0.750 0.750
F 0.774 0.226 0.774
```

## Properties
total moment	0.00	μB/cell
E_tot	-12.925	eV/atom


(3)
Computed, not measured: a PBEsol-optimized structure of Rb2TlPdF6 at the meta-GGA SCAN level of DFT. Values from VASP.

Geometry as Quantum ESPRESSO input:
```
&SYSTEM
  ibrav = 0, nat = 10, ntyp = 4
/
ATOMIC_SPECIES
F 19.00 F.upf
Rb 85.47 Rb.upf
Tl 204.38 Tl.upf
Pd 106.42 Pd.upf
CELL_PARAMETERS angstrom
6.358 0.000 0.000
3.179 5.506 0.000
3.179 1.835 5.192
ATOMIC_POSITIONS crystal
F 0.229 0.229 0.771
Rb 0.250 0.250 0.250
Rb 0.750 0.750 0.750
F 0.771 0.229 0.771
F 0.771 0.229 0.229
Tl 0.500 0.500 0.500
F 0.229 0.771 0.771
F 0.771 0.771 0.229
F 0.229 0.771 0.229
Pd 0.000 0.000 0.000
```

## Properties
total moment	1.00	μB/cell
E_tot	-18.974	eV/atom


(4)
Computed, not measured: a PBEsol-optimized structure of RePd2F at the meta-GGA SCAN level of DFT. Values from VASP.

Geometry as Quantum ESPRESSO input:
```
&SYSTEM
  ibrav = 0, nat = 4, ntyp = 3
/
ATOMIC_SPECIES
F 19.00 F.upf
Pd 106.42 Pd.upf
Re 186.21 Re.upf
CELL_PARAMETERS angstrom
-1.419 0.762 -3.943
-3.312 -2.196 -1.533
-3.753 1.931 -0.577
ATOMIC_POSITIONS crystal
F 0.000 0.000 0.000
Pd 0.750 0.750 0.750
Pd 0.250 0.250 0.250
Re 0.500 0.500 0.500
```

## Properties
total moment	1.78	μB/cell
E_tot	-34.722	eV/atom


(5)
Computed, not measured: a PBEsol-optimized structure of RePdF3 at the meta-GGA SCAN level of DFT. Values from VASP.

Geometry as Quantum ESPRESSO input:
```
&SYSTEM
  ibrav = 0, nat = 5, ntyp = 3
/
ATOMIC_SPECIES
F 19.00 F.upf
Re 186.21 Re.upf
Pd 106.42 Pd.upf
CELL_PARAMETERS angstrom
4.236 0.000 0.000
0.000 4.236 0.000
0.000 0.000 4.236
ATOMIC_POSITIONS crystal
F 0.500 0.000 0.000
Re 0.500 0.500 0.500
Pd 0.000 0.000 0.000
F 0.000 0.500 0.000
F 0.000 0.000 0.500
```

## Properties
total moment	6.04	μB/cell
E_tot	-22.867	eV/atom


(6)
Computed, not measured: a PBEsol-optimized structure of Zr2PdRhF at the meta-GGA SCAN level of DFT. Values from VASP.

Geometry as Quantum ESPRESSO input:
```
&SYSTEM
  ibrav = 0, nat = 5, ntyp = 4
/
ATOMIC_SPECIES
Zr 91.22 Zr.upf
F 19.00 F.upf
Pd 106.42 Pd.upf
Rh 102.91 Rh.upf
CELL_PARAMETERS angstrom
3.871 0.000 0.000
0.000 4.956 0.000
0.000 0.000 4.956
ATOMIC_POSITIONS crystal
Zr 0.000 0.000 0.500
F 0.500 0.000 0.000
Pd 0.500 0.500 0.500
Rh 0.000 0.000 0.000
Zr 0.000 0.500 0.000
```

## Properties
total moment	0.00	μB/cell
E_tot	-26.565	eV/atom


(7)
Computed, not measured: a PBEsol-optimized structure of Pd3RuF at the meta-GGA SCAN level of DFT. Values from VASP.

Geometry as Quantum ESPRESSO input:
```
&SYSTEM
  ibrav = 0, nat = 5, ntyp = 3
/
ATOMIC_SPECIES
Ru 101.07 Ru.upf
F 19.00 F.upf
Pd 106.42 Pd.upf
CELL_PARAMETERS angstrom
4.224 0.000 0.000
0.000 4.224 0.000
0.000 0.000 4.224
ATOMIC_POSITIONS crystal
Ru 0.500 0.500 0.500
F 0.000 0.000 0.000
Pd 0.000 0.000 0.500
Pd 0.500 0.000 0.000
Pd 0.000 0.500 0.000
```

## Properties
total moment	3.82	μB/cell
E_tot	-26.742	eV/atom


(8)
Computed, not measured: a PBEsol-optimized structure of PdS3F at the meta-GGA SCAN level of DFT. Values from VASP.

Geometry as Quantum ESPRESSO input:
```
&SYSTEM
  ibrav = 0, nat = 5, ntyp = 3
/
ATOMIC_SPECIES
F 19.00 F.upf
S 32.06 S.upf
Pd 106.42 Pd.upf
CELL_PARAMETERS angstrom
4.636 0.000 0.000
0.000 4.636 0.000
0.000 0.000 4.636
ATOMIC_POSITIONS crystal
F 0.500 0.500 0.500
S 0.000 0.000 0.500
S 0.500 0.000 0.000
Pd 0.000 0.000 0.000
S 0.000 0.500 0.000
```

## Properties
total moment	4.36	μB/cell
E_tot	-12.424	eV/atom


(9)
Computed, not measured: a PBEsol-optimized structure of Pd3SF at the meta-GGA SCAN level of DFT. Values from VASP.

Geometry as Quantum ESPRESSO input:
```
&SYSTEM
  ibrav = 0, nat = 5, ntyp = 3
/
ATOMIC_SPECIES
Pd 106.42 Pd.upf
F 19.00 F.upf
S 32.06 S.upf
CELL_PARAMETERS angstrom
-2.786 3.217 0.327
-0.460 -0.822 4.163
3.200 2.682 0.883
ATOMIC_POSITIONS crystal
Pd 0.000 0.000 0.500
F 0.000 0.000 0.000
Pd 0.500 0.000 0.000
S 0.500 0.500 0.500
Pd 0.000 0.500 0.000
```

## Properties
total moment	0.00	μB/cell
E_tot	-21.875	eV/atom


(10)
Computed, not measured: a PBEsol-optimized structure of SbPdSF2 at the meta-GGA SCAN level of DFT. Values from VASP.

Geometry as Quantum ESPRESSO input:
```
&SYSTEM
  ibrav = 0, nat = 5, ntyp = 4
/
ATOMIC_SPECIES
Sb 121.76 Sb.upf
S 32.06 S.upf
Pd 106.42 Pd.upf
F 19.00 F.upf
CELL_PARAMETERS angstrom
4.054 0.000 0.000
0.000 4.054 0.000
0.000 0.000 5.300
ATOMIC_POSITIONS crystal
Sb 0.000 0.000 0.000
S 0.500 0.500 0.500
Pd 0.000 0.000 0.500
F 0.500 0.000 0.000
F 0.000 0.500 0.000
```

## Properties
total moment	0.13	μB/cell
E_tot	-18.257	eV/atom


(11)
Computed, not measured: a PBEsol-optimized structure of Si2SbPdF at the meta-GGA SCAN level of DFT. Values from VASP.

Geometry as Quantum ESPRESSO input:
```
&SYSTEM
  ibrav = 0, nat = 5, ntyp = 4
/
ATOMIC_SPECIES
Si 28.09 Si.upf
Sb 121.76 Sb.upf
F 19.00 F.upf
Pd 106.42 Pd.upf
CELL_PARAMETERS angstrom
4.283 0.000 0.000
0.000 4.283 0.000
0.000 0.000 4.769
ATOMIC_POSITIONS crystal
Si 0.000 0.500 0.000
Sb 0.000 0.000 0.500
F 0.000 0.000 0.000
Si 0.500 0.000 0.000
Pd 0.500 0.500 0.500
```

## Properties
total moment	0.00	μB/cell
E_tot	-18.338	eV/atom


(12)
Computed, not measured: a PBEsol-optimized structure of PdSeF2 at the meta-GGA SCAN level of DFT. Values from VASP.

Geometry as Quantum ESPRESSO input:
```
&SYSTEM
  ibrav = 0, nat = 4, ntyp = 3
/
ATOMIC_SPECIES
Pd 106.42 Pd.upf
F 19.00 F.upf
Se 78.96 Se.upf
CELL_PARAMETERS angstrom
4.144 0.000 0.000
2.072 3.589 0.000
2.072 1.196 3.383
ATOMIC_POSITIONS crystal
Pd 0.500 0.500 0.500
F 0.250 0.250 0.250
F 0.750 0.750 0.750
Se 0.000 0.000 0.000
```

## Properties
energy relative to the lowest polymorph listed for this composition	1.608	eV/f.u.
total moment	0.00	μB/cell
E_tot	-15.204	eV/atom


| no. | uncorrected formation energy (eV/atom) |
| --- | --- |
| 1 | -1.84 |
| 2 | -2.31 |
| 3 | -2.19 |
| 4 | 0.32 |
| 5 | 0.03 |
| 6 | -0.27 |
| 7 | 0.60 |
| 8 | 0.62 |
| 9 | 0.42 |
| 10 | -0.91 |
| 11 | 0.38 |
| 12 | -0.22 |